A plane-wave DFT calculation with PBE was carried out for an optimized crystal structure of PmZn3Si2. Values from VASP.

Geometry as Quantum ESPRESSO input:
```
&SYSTEM
  ibrav = 0, nat = 12, ntyp = 3
/
ATOMIC_SPECIES
Si 28.09 Si.upf
Zn 65.41 Zn.upf
Pm 145.00 Pm.upf
ATOMIC_POSITIONS crystal
Si 0.472 0.944 0.836
Zn 0.936 0.871 0.631
Pm 0.152 0.305 0.075
Si 0.830 0.659 0.275
Si 0.170 0.341 0.725
Zn 0.280 0.560 0.593
Zn 0.590 0.179 0.718
Pm 0.848 0.695 0.925
Zn 0.720 0.440 0.407
Si 0.528 0.056 0.164
Zn 0.064 0.129 0.369
Zn 0.410 0.821 0.282
CELL_PARAMETERS angstrom
-0.480 3.742 -1.873
-6.513 -0.899 4.608
7.326 2.451 3.020
```

A plane-wave DFT calculation with PBE was carried out for an optimized crystal structure of TlZnSeCl. Values from VASP.

Geometry as Quantum ESPRESSO input:
```
&SYSTEM
  ibrav = 0, nat = 4, ntyp = 4
/
ATOMIC_SPECIES
Tl 204.38 Tl.upf
Se 78.96 Se.upf
Zn 65.41 Zn.upf
Cl 35.45 Cl.upf
ATOMIC_POSITIONS crystal
Tl 0.688 0.650 0.448
Se 0.021 0.983 0.123
Zn 0.355 0.316 0.017
Cl 0.355 0.316 0.708
CELL_PARAMETERS angstrom
-1.362 3.819 0.723
-3.117 1.529 -2.214
-4.977 -2.742 5.110
```

For reference, theoretical density by record: 5.89 5.69 g cm⁻³.
For reference, volume by record: 224.2 112.2 Å³ per cell.
For reference, energy relative to the elements, uncorrected by record: -0.266 -0.781 eV per atom.